Entry 1:
{
  "formula": "LiZrSnF2",
  "functional": "PBE",
  "state": "relaxed",
  "e_form_raw_ev_per_atom": -1.76,
  "total_energy_ev_per_atom": -5.4008,
  "lattice_angstrom": [[4.2132, 0.0000, 0.0000], [0.0000, 5.9520, 0.0000], [0.0000, 0.0000, 4.2132]],
  "species": ["Li", "F", "Zr", "Sn", "F"],
  "frac_coords": [[0.5000, 0.5000, 0.5000], [0.0000, 0.0000, 0.5000], [0.0000, 0.0000, 0.0000], [0.0000, 0.5000, 0.0000], [0.5000, 0.0000, 0.0000]]
}



Entry 2:
{
  "formula": "Sr2LiF",
  "functional": "PBE",
  "state": "relaxed",
  "e_form_raw_ev_per_atom": -1.32,
  "total_energy_ev_per_atom": -3.1057,
  "e_above_lowest_polymorph_ev_per_atom": 0.000,
  "lattice_angstrom": [[-2.8374, 6.5473, 2.2376], [0.6995, -2.1346, 7.1330], [3.3382, 4.0730, 4.8117]],
  "species": ["Sr", "F", "Li", "Sr", "Sr", "F", "Li", "Sr"],
  "frac_coords": [[0.7225, 0.1250, 0.2500], [0.7500, 0.2500, 0.5000], [0.5000, 0.5000, 0.0000], [0.8750, 0.9725, 0.7500], [0.3750, 0.2775, 0.7500], [0.0000, 0.0000, 0.0000], [0.2500, 0.7500, 0.5000], [0.0275, 0.6250, 0.2500]]
}



Entry 3:
{
  "formula": "Sr2LiF",
  "functional": "PBE",
  "state": "relaxed",
  "e_form_raw_ev_per_atom": -1.16,
  "total_energy_ev_per_atom": -2.9439,
  "e_above_lowest_polymorph_ev_per_atom": 0.162,
  "lattice_angstrom": [[-1.6767, -2.8857, 2.4025], [-2.5503, -2.7926, -1.6148], [5.0800, -6.9351, -1.2654]],
  "species": ["Li", "F", "Sr", "Sr"],
  "frac_coords": [[0.5000, 0.5000, 0.5000], [0.0000, 0.0000, 0.0000], [0.2691, 0.2691, 0.1926], [0.7309, 0.7309, 0.8074]]
}



Calculated values (μB per atom) of total magnetic moment for the records, taken in order: 0.000 0.000 0.191.